1.
InGeP2O, relaxed, DFT GGA-PBEsol; density = 5.2 Mg/m³; SG = P4/mmm, No. 123; DFT total energy = -4.866 eV/atom; crystal system = tetragonal
1.0
-2.845 0.425 -2.130
-2.887 -1.794 3.498
-0.652 4.498 1.768
P In Ge O
2 1 1 1
Direct
0.000 0.500 0.000
0.000 0.000 0.500
0.500 0.500 0.500
0.000 0.000 0.000
0.500 0.000 0.000


2.
ZrIn2GeO, relaxed, DFT GGA-PBEsol; density = 4.3 Mg/m³; SG = P4/mmm, No. 123; DFT total energy = -4.027 eV/atom; crystal system = tetragonal
1.0
-1.986 -4.473 -1.055
4.552 -2.528 2.148
-2.452 -0.107 5.069
In Zr O Ge
2 1 1 1
Direct
0.000 0.000 0.500
0.000 0.500 0.000
0.000 0.000 0.000
0.500 0.500 0.500
0.500 0.000 0.000


3.
In2SiGePb, relaxed, DFT GGA-PBEsol; density = 5.4 Mg/m³; SG = P4/mmm, No. 123; DFT total energy = -3.018 eV/atom; crystal system = tetragonal
1.0
-2.406 -4.625 0.290
4.967 -2.558 0.405
-0.216 0.462 5.578
In Si Pb Ge
2 1 1 1
Direct
0.000 0.500 0.000
0.000 0.000 0.500
0.500 0.000 0.000
0.000 0.000 0.000
0.500 0.500 0.500